--- A ---
{"formula": "SiWSe2Br", "functional": "PBE", "state": "optimized geometry", "lattice_angstrom": [[-3.724, 0.680, 3.152], [0.988, -4.342, 2.105], [3.236, 2.345, 3.318]], "species": ["Si", "Se", "Se", "W", "Br"], "frac_coords": [[0.500, 0.500, 0.500], [0.000, 0.500, 0.000], [0.500, 0.000, 0.000], [0.000, 0.000, 0.000], [0.000, 0.000, 0.500]], "mass_density_g_cm3": 5.93, "n_ef_per_ev_atom": 1.05}



--- B ---
{"formula": "SiWSe2Br", "functional": "PBE", "state": "optimized geometry", "lattice_angstrom": [[-2.967, 1.050, -3.787], [-2.793, -3.902, 1.107], [-2.668, 2.716, 2.843]], "species": ["Se", "Se", "W", "Si", "Br"], "frac_coords": [[0.000, 0.500, 0.000], [0.500, 0.000, 0.000], [0.500, 0.500, 0.500], [0.000, 0.000, 0.000], [0.000, 0.000, 0.500]], "mass_density_g_cm3": 6.48, "n_ef_per_ev_atom": 0.56}



--- C ---
{"formula": "SiWSe2Br", "functional": "PBE", "state": "optimized geometry", "lattice_angstrom": [[-1.946, -1.834, 4.025], [-4.182, -1.345, -2.635], [2.000, -4.287, -0.986]], "species": ["Se", "Se", "Si", "Br", "W"], "frac_coords": [[0.500, 0.000, 0.000], [0.000, 0.000, 0.500], [0.000, 0.500, 0.000], [0.500, 0.500, 0.500], [0.000, 0.000, 0.000]], "mass_density_g_cm3": 6.24, "n_ef_per_ev_atom": 0.52}



Relative energies, unit eV/atom: A 0.412; B 0.847; C 0.000



--- A ---
{"formula": "SiWSeBr2", "functional": "PBE", "state": "optimized geometry", "lattice_angstrom": [[-3.478, -3.796, -0.723], [2.137, -2.699, 3.896], [-3.038, 2.179, 3.175]], "species": ["W", "Si", "Br", "Br", "Se"], "frac_coords": [[0.000, 0.000, 0.000], [0.500, 0.500, 0.500], [0.500, 0.000, 0.000], [0.000, 0.500, 0.000], [0.000, 0.000, 0.500]], "mass_density_g_cm3": 5.65, "n_ef_per_ev_atom": 0.61}



--- B ---
{"formula": "SiWSeBr2", "functional": "PBE", "state": "optimized geometry", "lattice_angstrom": [[4.939, 0.000, 0.000], [0.000, 4.939, 0.000], [0.000, 0.000, 5.193]], "species": ["Br", "Br", "Se", "Si", "W"], "frac_coords": [[0.500, 0.000, 0.000], [0.000, 0.500, 0.000], [0.000, 0.000, 0.500], [0.000, 0.000, 0.000], [0.500, 0.500, 0.500]], "mass_density_g_cm3": 5.91, "n_ef_per_ev_atom": 1.00}



Relative energies, unit eV/atom: A 0.000; B 0.392



--- A ---
{"formula": "YSiSeBr2", "functional": "PBE", "state": "optimized geometry", "lattice_angstrom": [[5.066, 0.000, 0.000], [0.000, 5.066, 0.000], [0.000, 0.000, 5.197]], "species": ["Se", "Y", "Si", "Br", "Br"], "frac_coords": [[0.000, 0.000, 0.500], [0.500, 0.500, 0.500], [0.000, 0.000, 0.000], [0.000, 0.500, 0.000], [0.500, 0.000, 0.000]], "mass_density_g_cm3": 4.43, "n_ef_per_ev_atom": 0.77}



--- B ---
{"formula": "YSiSeBr2", "functional": "PBE", "state": "optimized geometry", "lattice_angstrom": [[5.484, 0.000, 0.000], [0.000, 5.484, 0.000], [0.000, 0.000, 5.613]], "species": ["Br", "Br", "Y", "Se", "Si"], "frac_coords": [[0.500, 0.000, 0.000], [0.000, 0.500, 0.000], [0.000, 0.000, 0.000], [0.000, 0.000, 0.500], [0.500, 0.500, 0.500]], "mass_density_g_cm3": 3.50, "n_ef_per_ev_atom": 0.51}



Relative energies, unit eV/atom: A 0.195; B 0.000



--- A ---
{"formula": "ZnSiSe2Br", "functional": "PBE", "state": "optimized geometry", "lattice_angstrom": [[-3.996, 2.643, -0.930], [-2.751, -3.392, 2.179], [0.551, 2.383, 4.407]], "species": ["Si", "Se", "Se", "Zn", "Br"], "frac_coords": [[0.000, 0.000, 0.000], [0.000, 0.500, 0.000], [0.500, 0.000, 0.000], [0.500, 0.500, 0.500], [0.000, 0.000, 0.500]], "mass_density_g_cm3": 4.58, "n_ef_per_ev_atom": 0.44}



--- B ---
{"formula": "ZnSiSe2Br", "functional": "PBE", "state": "optimized geometry", "lattice_angstrom": [[4.910, 0.000, 0.000], [0.000, 4.910, 0.000], [0.000, 0.000, 5.090]], "species": ["Se", "Se", "Zn", "Br", "Si"], "frac_coords": [[0.000, 0.500, 0.000], [0.500, 0.000, 0.000], [0.000, 0.000, 0.000], [0.000, 0.000, 0.500], [0.500, 0.500, 0.500]], "mass_density_g_cm3": 4.48, "n_ef_per_ev_atom": 0.55}



Relative energies, unit eV/atom: A 0.000; B 0.214



--- A ---
{"formula": "ZrSiSeBr2", "functional": "PBE", "state": "optimized geometry", "lattice_angstrom": [[-1.654, -0.923, 4.615], [-3.965, -2.363, -1.894], [2.610, -4.421, 0.051]], "species": ["Se", "Br", "Br", "Zr", "Si"], "frac_coords": [[0.000, 0.000, 0.500], [0.000, 0.500, 0.000], [0.500, 0.000, 0.000], [0.500, 0.500, 0.500], [0.000, 0.000, 0.000]], "mass_density_g_cm3": 4.65, "n_ef_per_ev_atom": 0.93}



--- B ---
{"formula": "ZrSiSeBr2", "functional": "PBE", "state": "optimized geometry", "lattice_angstrom": [[5.325, 0.000, 0.000], [0.000, 5.325, 0.000], [0.000, 0.000, 5.260]], "species": ["Si", "Zr", "Se", "Br", "Br"], "frac_coords": [[0.500, 0.500, 0.500], [0.000, 0.000, 0.000], [0.000, 0.000, 0.500], [0.000, 0.500, 0.000], [0.500, 0.000, 0.000]], "mass_density_g_cm3": 3.99, "n_ef_per_ev_atom": 0.93}



Relative energies, unit eV/atom: A 0.364; B 0.000



--- A ---
{"formula": "ZrSiSe2Br", "functional": "PBE", "state": "optimized geometry", "lattice_angstrom": [[-4.101, 3.213, 0.593], [-0.082, -1.051, 5.136], [3.268, 4.010, 0.873]], "species": ["Zr", "Si", "Se", "Se", "Br"], "frac_coords": [[0.000, 0.000, 0.000], [0.500, 0.500, 0.500], [0.500, 0.000, 0.000], [0.000, 0.500, 0.000], [0.000, 0.000, 0.500]], "mass_density_g_cm3": 4.11, "n_ef_per_ev_atom": 0.46}



--- B ---
{"formula": "ZrSiSe2Br", "functional": "PBE", "state": "optimized geometry", "lattice_angstrom": [[4.907, 0.000, 0.000], [0.000, 4.907, 0.000], [0.000, 0.000, 4.845]], "species": ["Zr", "Br", "Se", "Se", "Si"], "frac_coords": [[0.500, 0.500, 0.500], [0.000, 0.000, 0.500], [0.500, 0.000, 0.000], [0.000, 0.500, 0.000], [0.000, 0.000, 0.000]], "mass_density_g_cm3": 5.08, "n_ef_per_ev_atom": 0.86}



Relative energies, unit eV/atom: A 0.000; B 0.244